Record 1
Here is a geometry-optimized Rb2YRuO6 structure from Alexandria. Energies are from PBE.

Geometry as CIF:
```
data_Rb2YRuO6
_chemical_formula_sum 'Rb2 Y1 Ru1 O6'
_cell_length_a 6.4020
_cell_length_b 6.4020
_cell_length_c 5.7533
_cell_angle_alpha 90.00
_cell_angle_beta 90.00
_cell_angle_gamma 120.00
_space_group_name_H-M_alt 'P -3 m 1'
_space_group_IT_number 164
_space_group_name_Hall '-P 3 2"'
loop_
_atom_site_label
_atom_site_fract_x
_atom_site_fract_y
_atom_site_fract_z
Rb1 0.3333 0.6667 0.1270
Y1 0.0000 0.0000 0.5000
Ru1 0.0000 0.0000 0.0000
O1 0.1371 0.2743 0.7949
```

Summary:
Its uncorrected formation energy is -1.58 eV/atom. The calculation puts the total energy at -6.318 eV per atom.

Record 2
Here is a geometry-optimized KSn3Pt structure from Alexandria. Energies are from PBE.

Geometry as CIF:
```
data_KSn3Pt
_chemical_formula_sum 'K4 Sn12 Pt4'
_cell_length_a 8.828
_cell_length_b 7.419
_cell_length_c 9.601
_cell_angle_alpha 90.00
_cell_angle_beta 115.09
_cell_angle_gamma 90.00
_space_group_name_H-M_alt 'P 1 21/c 1'
_space_group_IT_number 14
loop_
_space_group_symop_operation_xyz
'x,y,z'
'-x,-y,-z'
'-x,y+1/2,-z+1/2'
'x,-y+1/2,z+1/2'
loop_
_atom_site_label
_atom_site_fract_x
_atom_site_fract_y
_atom_site_fract_z
K1 0.129 0.072 0.213
Sn1 0.152 0.603 0.105
Sn2 0.309 0.055 0.929
Sn3 0.467 0.125 0.643
Pt1 0.421 0.736 0.071
```

Summary:
The calculation puts the total energy at -4.152 eV per atom. As for the calculated formation energy: -1.61 eV per formula unit.

Record 3
Here is a geometry-optimized Cd2In2Sn structure from Alexandria. Energies are from PBE.

Geometry as CIF:
```
data_Cd2In2Sn
_chemical_formula_sum 'Cd4 In4 Sn2'
_cell_length_a 4.295
_cell_length_b 4.295
_cell_length_c 14.673
_cell_angle_alpha 90.00
_cell_angle_beta 90.00
_cell_angle_gamma 90.00
_space_group_name_H-M_alt 'I 4/m m m'
_space_group_IT_number 139
_space_group_name_Hall '-I 4 2'
loop_
_atom_site_label
_atom_site_fract_x
_atom_site_fract_y
_atom_site_fract_z
Cd1 0.000 0.500 0.250
In1 0.000 0.000 0.100
Sn1 0.000 0.000 0.500
```

Summary:
The calculation puts the total energy at -2.137 eV per atom. As for the calculated formation energy: 0.62 eV per formula unit.

Record 4
Here is a geometry-optimized Sn4AsS6 structure from Alexandria. Energies are from PBE.

Geometry as CIF:
```
data_Sn4AsS6
_chemical_formula_sum 'Sn16 As4 S24'
_cell_length_a 16.839
_cell_length_b 6.653
_cell_length_c 13.419
_cell_angle_alpha 90.00
_cell_angle_beta 125.76
_cell_angle_gamma 90.00
_space_group_name_H-M_alt 'C 1 c 1'
_space_group_IT_number 9
loop_
_space_group_symop_operation_xyz
'x,y,z'
'x,-y,z+1/2'
'x+1/2,y+1/2,z'
'x+1/2,-y+1/2,z+1/2'
loop_
_atom_site_label
_atom_site_fract_x
_atom_site_fract_y
_atom_site_fract_z
Sn1 0.000 0.129 0.000
Sn2 0.029 0.320 0.318
Sn3 0.184 0.185 0.765
Sn4 0.345 0.241 0.173
As1 0.266 0.254 0.526
S1 0.041 0.277 0.842
S2 0.045 0.243 0.521
S3 0.152 0.195 0.211
S4 0.334 0.231 0.732
S5 0.348 0.003 0.015
S6 0.355 0.492 0.024
```

Summary:
Its uncorrected formation energy is -0.25 eV/atom. The calculation puts the total energy at -4.383 eV per atom.

> Which formula does entry 4 have?

Sn4AsS6